[1]
Crystalline LiTmZrTl at its relaxed geometry, computed with PBE-GGA.

POSCAR file:
```
LiTmZrTl
1.0
0.000 3.581 3.581
3.581 0.000 3.581
3.581 3.581 0.000
Li Tm Zr Tl
1 1 1 1
Cartesian
0.000 0.000 0.000
1.791 1.791 1.791
5.372 5.372 5.372
3.581 3.581 3.581
```

Properties
Crystal system ... cubic
Space-group type ... F-43m (216)
Formation energy from the elements ... -12 meV/atom
Volume ... 91.86 Å³/cell
Total magnetization ... 0.00 μB/atom


[2]
Crystalline MgFe2Mo at its relaxed geometry, computed with PBE-GGA.

POSCAR file:
```
MgFe2Mo
1.0
2.715 -4.070 0.000
2.715 4.070 0.000
-0.616 0.000 2.541
Mg Fe Mo
1 2 1
Cartesian
0.000 0.000 0.000
1.049 2.035 1.271
1.049 -2.035 1.271
2.715 0.000 0.000
```

Properties
Crystal system ... monoclinic
Space-group type ... C2/m (12)
Formation energy from the elements ... 315 meV/atom
Volume ... 56.16 Å³/cell
Total magnetization ... 1.02 μB/atom